Ir2Os: optimized geometry, PBE.

abc: 12.2229 12.2229 12.2229
angles: 167.16 167.16 18.19
Closest atoms and distances in Å follow each position.
Sites, in units of the cell vectors:
Ir1 0.2975 0.5475 0.7500  6 Ir 2.67-2.73, 4 Os 2.69
Ir2 0.4525 0.7025 0.7500  6 Ir 2.67-2.73, 4 Os 2.69
Ir3 0.5475 0.2975 0.2500  6 Ir 2.67-2.73, 4 Os 2.69
Ir4 0.7025 0.4525 0.2500  6 Ir 2.67-2.73, 4 Os 2.69
Os1 0.1250 0.8750 0.2500  8 Ir 2.69, 4 Os 2.73
Os2 0.8750 0.1250 0.7500  8 Ir 2.69, 4 Os 2.73

Values from the calculation:
ΔH_f (0 K), eV per atom: 0.150
Distance to the lowest polymorph of the same formula, meV per atom: 152.5